# LiSe

A geometry-optimized LiSe structure (PBE-GGA, Alexandria).

The structure belongs to space group P6_3/mmc (No. 194); the cell edges are 3.9768, 3.9768 and 5.2850 Å and the angles 90.00°, 90.00° and 120.00°. The inequivalent atoms are Li at (0.0000, 0.0000, 0.0000) and Se at (0.3333, 0.6667, 0.2500).

The formation energy from raw total energies comes out at -0.606 eV/atom. The energy above the most stable polymorph in this dataset is 29.30 kJ per mole of atoms.



# LiLa2Nd

A geometry-optimized LiLa2Nd structure (PBE-GGA, Alexandria).

The structure belongs to space group R-3m (No. 166, hexagonal axes); the cell edges are 3.5007, 3.5007 and 37.2134 Å and the angles 90.00°, 90.00° and 120.00°. The inequivalent atoms are Li at (0.0000, 0.0000, 0.0000), La at (0.0000, 0.0000, 0.4091) and Nd at (0.0000, 0.0000, 0.5000).

The energy above the most stable polymorph in this dataset is 16.52 kJ per mole of atoms. The value obtained for the formation energy is 0.228 eV/atom.



# PmEr4Sc5

A geometry-optimized PmEr4Sc5 structure (PBE-GGA, Alexandria).

The structure belongs to space group I4mm (No. 107); the cell edges are 10.067, 10.067 and 5.646 Å and the angles 90.00°, 90.00° and 90.00°. The inequivalent atoms are Pm at (0.000, 0.000, 0.000), Er at (0.000, 0.323, 0.258), Sc at (0.000, 0.000, 0.474) and Sc at (0.190, 0.190, 0.725).

The energy above the most stable polymorph in this dataset is 19.26 kJ per mole of atoms. The value obtained for the formation energy is 0.253 eV/atom.